Entry 1:
Pr5Hg7: optimized geometry, GGA-PBE.

Cell: 5.2226 5.2226 15.2822 Å, 99.92 99.92 60.06°
Closest atoms and distances in Å follow each position.
Atoms (fractional coordinates):
Pr (0.0000, 0.0000, 0.0000)  8 Hg 3.18-3.28
Pr (0.1401, 0.1401, 0.4212)  7 Hg 3.13-3.30
Pr (0.4007, 0.4007, 0.2032)  3 Hg 3.02
Pr (0.5993, 0.5993, 0.7968)  3 Hg 3.02
Pr (0.8599, 0.8599, 0.5788)  7 Hg 3.13-3.30
Hg (0.0703, 0.0703, 0.2123)  5 Pr 3.02-3.18
Hg (0.2238, 0.2238, 0.6689)  6 Pr 3.30-3.58, 4 Hg 3.50-3.66
Hg (0.3043, 0.3043, 0.9134)  6 Pr 3.28-3.49, 4 Hg 3.55-3.66
Hg (0.5000, 0.5000, 0.5000)  6 Pr 3.24
Hg (0.6957, 0.6957, 0.0866)  6 Pr 3.28-3.49, 4 Hg 3.55-3.66
Hg (0.7762, 0.7762, 0.3311)  6 Pr 3.30-3.58, 4 Hg 3.50-3.66
Hg (0.9297, 0.9297, 0.7877)  5 Pr 3.02-3.18

## Properties
Magnetic moment ... 0.00 μB per atom
ΔE_f ... -381.7 meV/atom
Volume ... 353.96 Å³/cell

Entry 2:
NpAl10Fe2: optimized geometry, GGA-PBE.

Cell: 6.7458 6.7458 8.9406 Å, 90.00 90.00 97.74°
Closest atoms and distances in Å follow each position.
Atoms (fractional coordinates):
Np (0.1197, 0.8803, 0.7500)  14 Al 3.09-3.24, 4 Fe 3.42
Np (0.8803, 0.1197, 0.2500)  14 Al 3.09-3.24, 4 Fe 3.42
Al (0.1321, 0.4123, 0.7500)  2 Fe 2.51, 7 Al 2.59-2.78
Al (0.1587, 0.8413, 0.0971)  2 Fe 2.56, 6 Al 2.57-2.78
Al (0.1587, 0.8413, 0.4029)  2 Fe 2.56, 6 Al 2.57-2.78
Al (0.2201, 0.4766, 0.2500)  7 Al 2.59-2.89, 2 Fe 2.70
Al (0.2252, 0.2252, 0.0000)  2 Fe 2.55, 8 Al 2.68-2.81
Al (0.2252, 0.2252, 0.5000)  2 Fe 2.55, 8 Al 2.68-2.81
Al (0.3746, 0.6254, 0.5519)  6 Al 2.57-2.79, 2 Fe 2.60
Al (0.3746, 0.6254, 0.9481)  6 Al 2.57-2.79, 2 Fe 2.60
Al (0.4123, 0.1321, 0.2500)  2 Fe 2.51, 7 Al 2.59-2.78
Al (0.4766, 0.2201, 0.7500)  7 Al 2.59-2.89, 2 Fe 2.70
Al (0.5234, 0.7799, 0.2500)  7 Al 2.59-2.89, 2 Fe 2.70
Al (0.5877, 0.8679, 0.7500)  2 Fe 2.51, 7 Al 2.59-2.78
Al (0.6254, 0.3746, 0.0519)  6 Al 2.57-2.79, 2 Fe 2.60
Al (0.6254, 0.3746, 0.4481)  6 Al 2.57-2.79, 2 Fe 2.60
Al (0.7748, 0.7748, 0.0000)  2 Fe 2.55, 8 Al 2.68-2.81
Al (0.7748, 0.7748, 0.5000)  2 Fe 2.55, 8 Al 2.68-2.81
Al (0.7799, 0.5234, 0.7500)  7 Al 2.59-2.89, 2 Fe 2.70
Al (0.8413, 0.1587, 0.5971)  2 Fe 2.56, 6 Al 2.57-2.78
Al (0.8413, 0.1587, 0.9029)  2 Fe 2.56, 6 Al 2.57-2.78
Al (0.8679, 0.5877, 0.2500)  2 Fe 2.51, 7 Al 2.59-2.78
Fe (0.0000, 0.5000, 0.0000)  10 Al 2.51-2.70
Fe (0.0000, 0.5000, 0.5000)  10 Al 2.51-2.70
Fe (0.5000, 0.0000, 0.0000)  10 Al 2.51-2.70
Fe (0.5000, 0.0000, 0.5000)  10 Al 2.51-2.70

## Properties
Magnetic moment ... 0.28 μB per atom
ΔE_f ... -261.7 meV/atom
Volume ... 403.15 Å³/cell

Entry 3:
Nd4Hg2F: optimized geometry, GGA-PBE.

Cell: 8.9233 8.9233 8.9233 Å, 148.10 148.10 45.74°
Closest atoms and distances in Å follow each position.
Atoms (fractional coordinates):
Nd (0.0000, 0.5000, 0.5000)  2 F 2.45
Nd (0.1874, 0.1874, 0.0000)  1 Hg 3.01, 1 F 3.08
Nd (0.5000, 0.0000, 0.5000)  2 F 2.45
Nd (0.8126, 0.8126, 0.0000)  1 Hg 3.01, 1 F 3.08
Hg (0.3704, 0.3704, 0.0000)  5 Nd 3.01-3.25
Hg (0.6296, 0.6296, 0.0000)  5 Nd 3.01-3.25
F (0.0000, 0.0000, 0.0000)  4 Nd 2.45

## Properties
Magnetic moment ... 0.00 μB per atom
Raw formation energy ... -0.888 eV per atom
Volume ... 197.79 Å³/cell

Q: The lowest volume belongs to which entry?
A: Nd4Hg2F